# Ce2AlHg8, optimized geometry, DFT PBE-GGA
data_Ce2AlHg8
_cell_length_a 4.792
_cell_length_b 4.792
_cell_length_c 12.272
_cell_angle_alpha 90.00
_cell_angle_beta 90.00
_cell_angle_gamma 90.00
_symmetry_space_group_name_H-M 'P 1'
_symmetry_Int_Tables_number 1
_symmetry_space_group_name_Hall 'P 1'
loop_
_atom_site_label
_atom_site_type_symbol
_atom_site_fract_x
_atom_site_fract_y
_atom_site_fract_z
_atom_site_occupancy
Ce1 Ce 0.000 0.000 0.194 1
Ce2 Ce 0.000 0.000 0.806 1
Al1 Al 0.000 0.000 0.500 1
Hg1 Hg 0.000 0.500 0.000 1
Hg2 Hg 0.000 0.500 0.372 1
Hg3 Hg 0.000 0.500 0.628 1
Hg4 Hg 0.500 0.000 0.000 1
Hg5 Hg 0.500 0.000 0.372 1
Hg6 Hg 0.500 0.000 0.628 1
Hg7 Hg 0.500 0.500 0.191 1
Hg8 Hg 0.500 0.500 0.809 1
# * ρ: 11.267 g cm⁻³
# * space group: No. 123
# * crystal system: tetragonal
# * formation energy: -0.200 eV per atom
# * volume: 25.62 A^3/atom
# * N(E_F): 20.0 states/eV/cell